a | The following is a DFT calculation (PBE-GGA) of ZrSbI2O after structural relaxation.

Output
* D(E_F): 0.646 states/eV per atom
* symmetry: P4/mmm, No. 123

Cell: 6.1132 6.1132 4.0245 Å, 90.00 90.00 90.00°
Fractional coordinates of all 5 atoms:
Zr: 0.0000 0.0000 0.0000
Sb: 0.5000 0.5000 0.5000
I: 0.0000 0.5000 0.5000
I: 0.5000 0.0000 0.5000
O: 0.5000 0.5000 0.0000


b | The following is a DFT calculation (PBE-GGA) of ZrSbI2O after structural relaxation.

Output
* D(E_F): 1.782 states/eV per atom
* symmetry: P4/mmm, No. 123

Cell: 5.6138 5.6138 5.7349 Å, 90.00 90.00 90.00°
Fractional coordinates of all 5 atoms:
Zr: 0.0000 0.0000 0.0000
Sb: 0.0000 0.0000 0.5000
I: 0.0000 0.5000 0.0000
I: 0.5000 0.0000 0.0000
O: 0.5000 0.5000 0.5000


c | The following is a DFT calculation (PBE-GGA) of ZrSbI2O after structural relaxation.

Output
* D(E_F): 0.923 states/eV per atom
* symmetry: P4/mmm, No. 123

Cell: 5.0764 5.0764 4.6390 Å, 90.00 90.00 90.00°
Fractional coordinates of all 5 atoms:
Zr: 0.0000 0.0000 0.0000
Sb: 0.5000 0.5000 0.0000
I: 0.0000 0.5000 0.5000
I: 0.5000 0.0000 0.5000
O: 0.5000 0.5000 0.5000


d | The following is a DFT calculation (PBE-GGA) of ZrSbI2O after structural relaxation.

Output
* D(E_F): 0.564 states/eV per atom
* symmetry: P4/mmm, No. 123

Cell: 5.9600 5.9600 3.9940 Å, 90.00 90.00 90.00°
Fractional coordinates of all 5 atoms:
Zr: 0.0000 0.0000 0.0000
Sb: 0.5000 0.5000 0.5000
I: 0.0000 0.5000 0.0000
I: 0.5000 0.0000 0.0000
O: 0.0000 0.0000 0.5000


Which of them is most stable? Easy: d.


a | The following is a DFT calculation (PBE-GGA) of ZrSbIO2 after structural relaxation.

Output
* D(E_F): 0.997 states/eV per atom
* symmetry: P4/mmm, No. 123

Cell: 4.1638 4.1638 6.3239 Å, 90.00 90.00 90.00°
Fractional coordinates of all 5 atoms:
Zr: 0.0000 0.0000 0.0000
Sb: 0.5000 0.5000 0.5000
I: 0.5000 0.5000 0.0000
O: 0.0000 0.5000 0.5000
O: 0.5000 0.0000 0.5000


b | The following is a DFT calculation (PBE-GGA) of ZrSbIO2 after structural relaxation.

Output
* D(E_F): 0.235 states/eV per atom
* symmetry: P4/mmm, No. 123

Cell: 4.2278 4.2278 6.2596 Å, 90.00 90.00 90.00°
Fractional coordinates of all 5 atoms:
Zr: 0.0000 0.0000 0.0000
Sb: 0.5000 0.5000 0.5000
I: 0.0000 0.0000 0.5000
O: 0.0000 0.5000 0.0000
O: 0.5000 0.0000 0.0000


Which of them is most stable? Easy: b.


a | The following is a DFT calculation (PBE-GGA) of ScI3O after structural relaxation.

Output
* D(E_F): 2.182 states/eV per atom
* symmetry: Pm-3m, No. 221

Cell: 5.1096 5.1096 5.1096 Å, 90.00 90.00 90.00°
Fractional coordinates of all 5 atoms:
Sc: 0.0000 0.0000 0.0000
I: 0.0000 0.5000 0.5000
I: 0.5000 0.0000 0.5000
I: 0.5000 0.5000 0.0000
O: 0.5000 0.5000 0.5000


b | The following is a DFT calculation (PBE-GGA) of ScI3O after structural relaxation.

Output
* D(E_F): 7.351 states/eV per atom
* symmetry: Pm-3m, No. 221

Cell: 5.6839 5.6839 5.6839 Å, 90.00 90.00 90.00°
Fractional coordinates of all 5 atoms:
Sc: 0.0000 0.0000 0.0000
I: 0.0000 0.0000 0.5000
I: 0.0000 0.5000 0.0000
I: 0.5000 0.0000 0.0000
O: 0.5000 0.5000 0.5000


Which of them is most stable? Easy: b.


a | The following is a DFT calculation (PBE-GGA) of ScSiIO2 after structural relaxation.

Output
* D(E_F): 0.685 states/eV per atom
* symmetry: P4/mmm, No. 123

Cell: 3.8183 3.8183 5.5373 Å, 90.00 90.00 90.00°
Fractional coordinates of all 5 atoms:
Sc: 0.0000 0.0000 0.0000
Si: 0.5000 0.5000 0.5000
I: 0.5000 0.5000 0.0000
O: 0.0000 0.5000 0.5000
O: 0.5000 0.0000 0.5000


b | The following is a DFT calculation (PBE-GGA) of ScSiIO2 after structural relaxation.

Output
* D(E_F): 0.714 states/eV per atom
* symmetry: P4/mmm, No. 123

Cell: 4.1026 4.1026 5.8546 Å, 90.00 90.00 90.00°
Fractional coordinates of all 5 atoms:
Sc: 0.0000 0.0000 0.0000
Si: 0.5000 0.5000 0.5000
I: 0.0000 0.0000 0.5000
O: 0.0000 0.5000 0.0000
O: 0.5000 0.0000 0.0000


Which of them is most stable? Easy: b.


a | The following is a DFT calculation (PBE-GGA) of ScSnIO2 after structural relaxation.

Output
* D(E_F): 0.314 states/eV per atom
* symmetry: P4/mmm, No. 123

Cell: 4.2626 4.2626 5.6640 Å, 90.00 90.00 90.00°
Fractional coordinates of all 5 atoms:
Sc: 0.0000 0.0000 0.0000
Sn: 0.5000 0.5000 0.5000
I: 0.0000 0.0000 0.5000
O: 0.0000 0.5000 0.0000
O: 0.5000 0.0000 0.0000


b | The following is a DFT calculation (PBE-GGA) of ScSnIO2 after structural relaxation.

Output
* D(E_F): 0.764 states/eV per atom
* symmetry: P4/mmm, No. 123

Cell: 4.1275 4.1275 6.3179 Å, 90.00 90.00 90.00°
Fractional coordinates of all 5 atoms:
Sc: 0.0000 0.0000 0.0000
Sn: 0.5000 0.5000 0.5000
I: 0.5000 0.5000 0.0000
O: 0.0000 0.5000 0.5000
O: 0.5000 0.0000 0.5000


Which of them is most stable? Easy: a.


a | The following is a DFT calculation (PBE-GGA) of ScSnI2O after structural relaxation.

Output
* D(E_F): 1.119 states/eV per atom
* symmetry: P4/mmm, No. 123

Cell: 6.1977 6.1977 4.0599 Å, 90.00 90.00 90.00°
Fractional coordinates of all 5 atoms:
Sc: 0.0000 0.0000 0.0000
Sn: 0.5000 0.5000 0.5000
I: 0.0000 0.5000 0.5000
I: 0.5000 0.0000 0.5000
O: 0.5000 0.5000 0.0000


b | The following is a DFT calculation (PBE-GGA) of ScSnI2O after structural relaxation.

Output
* D(E_F): 0.582 states/eV per atom
* symmetry: P4/mmm, No. 123

Cell: 6.0659 6.0659 3.8805 Å, 90.00 90.00 90.00°
Fractional coordinates of all 5 atoms:
Sc: 0.0000 0.0000 0.0000
Sn: 0.5000 0.5000 0.5000
I: 0.0000 0.5000 0.0000
I: 0.5000 0.0000 0.0000
O: 0.0000 0.0000 0.5000


Which of them is most stable? Easy: b.